# 1
## BeSb2Te (PBE)

Data for BeSb2Te after structural relaxation.

abc: 3.425 3.425 9.386
angles: 90.00 90.00 114.36
Sites, in units of the cell vectors:
Be 0.500 0.500 0.747
Sb 0.500 0.500 0.220
Sb 0.000 0.000 0.952
Te 0.000 0.000 0.581

**Symmetry**: No. 35
**E_form (uncorrected)**: 330 meV per atom
**E**: -13.79 eV/cell

# 2
## SmMnPt4 (PBE)

Data for SmMnPt4 after structural relaxation.

abc: 5.378 5.378 5.378
angles: 60.00 60.00 60.00
Site moments in Bohr magnetons follow the coordinates.
Sites, in units of the cell vectors:
Pt 0.123 0.626 0.626  0.12
Pt 0.626 0.626 0.123  0.12
Pt 0.626 0.123 0.626  0.12
Pt 0.626 0.626 0.626  0.12
Mn 0.000 0.000 0.000  4.23
Sm 0.250 0.250 0.250  0.03

**Symmetry**: No. 216
**Formation energy**: -0.67 eV per atom
**E**: -42.08 eV/cell

# 3
## CaPr2In (PBE)

Data for CaPr2In after structural relaxation.

abc: 5.702 6.192 7.230
angles: 90.00 90.00 90.00
Sites, in units of the cell vectors:
Pr 0.500 0.186 0.753
Pr 0.000 0.814 0.747
Pr 0.000 0.814 0.253
Pr 0.500 0.186 0.247
In 0.000 0.322 0.000
In 0.500 0.678 0.500
Ca 0.000 0.343 0.500
Ca 0.500 0.657 0.000

**Symmetry**: No. 59
**Formation energy**: -0.22 eV per atom
**E**: -30.34 eV/cell

# 4
## AsIrN2 (PBE)

Data for AsIrN2 after structural relaxation.

abc: 4.842 4.842 5.753
angles: 65.11 65.11 90.00
Sites, in units of the cell vectors:
Ir 0.750 0.250 0.500
Ir 0.000 0.000 0.000
As 0.500 0.500 0.000
As 0.250 0.750 0.500
N 0.875 0.886 0.750
N 0.114 0.625 0.250
N 0.375 0.364 0.750
N 0.636 0.125 0.250

**Symmetry**: No. 122
**E_form (uncorrected)**: 955 meV per atom
**E**: -52.69 eV/cell

# 5
## Dy3MgTl (PBE)

Data for Dy3MgTl after structural relaxation.

abc: 5.077 5.077 11.198
angles: 90.00 76.90 90.00
Site moments in Bohr magnetons follow the coordinates.
Sites, in units of the cell vectors:
Dy 0.882 0.750 0.884  0.01
Dy 0.574 0.250 0.501  0.15
Dy 0.379 0.250 0.891  0.02
Dy 0.075 0.750 0.499  0.15
Dy 0.766 0.250 0.116  0.01
Dy 0.270 0.750 0.109  0.02
Tl 0.669 0.750 0.310  0.00
Tl 0.979 0.250 0.690  0.00
Mg 0.171 0.250 0.305  0.00
Mg 0.477 0.750 0.695  0.00

**Symmetry**: No. 63
**Formation energy**: -0.18 eV per atom
**E**: -37.34 eV/cell

# 6
## Pm2SbO (PBE)

Data for Pm2SbO after structural relaxation.

abc: 4.602 4.602 9.031
angles: 90.01 90.01 90.00
Sites, in units of the cell vectors:
O 0.250 0.250 0.422
O 0.750 0.750 0.578
Sb 0.750 0.750 0.203
Sb 0.250 0.250 0.797
Pm 0.750 0.750 0.844
Pm 0.250 0.750 0.500
Pm 0.750 0.250 0.500
Pm 0.250 0.250 0.156

**Symmetry**: No. 129
**E_form (uncorrected)**: -2027 meV per atom
**E**: -53.38 eV/cell